{"formula": "Dy8Tl2Ga", "functional": "PBE", "state": "optimized geometry", "lattice": [[-0.553, -3.400, 3.823], [-1.922, -4.700, -4.458], [9.607, 0.617, -1.526]], "species": ["Dy", "Dy", "Dy", "Dy", "Dy", "Dy", "Dy", "Dy", "Tl", "Tl", "Ga"], "frac_coords": [[0.410, 0.541, 0.821], [0.653, 0.982, 0.306], [0.795, 0.688, 0.589], [0.983, 0.230, 0.966], [0.205, 0.312, 0.411], [0.347, 0.018, 0.694], [0.590, 0.459, 0.179], [0.017, 0.770, 0.034], [0.816, 0.248, 0.632], [0.184, 0.752, 0.368], [0.500, 0.000, 0.000]], "ef_ev_per_atom": -0.205, "n_ef_per_ev_fu": 12.09, "total_magnetization_mub_per_fu": 0.0}


{"formula": "Dy6Tl5Ga", "functional": "PBE", "state": "optimized geometry", "lattice": [[-4.677, 4.488, 0.844], [-3.337, -1.827, 8.661], [2.184, 2.679, 6.573]], "species": ["Dy", "Dy", "Dy", "Dy", "Dy", "Dy", "Tl", "Tl", "Tl", "Tl", "Tl", "Ga"], "frac_coords": [[0.771, 0.071, 0.322], [0.229, 0.607, 0.322], [0.265, 0.222, 0.000], [0.735, 0.778, 0.000], [0.771, 0.393, 0.678], [0.229, 0.929, 0.678], [0.500, 0.193, 0.614], [0.000, 0.352, 0.296], [0.500, 0.500, 0.000], [0.000, 0.648, 0.704], [0.500, 0.807, 0.386], [0.000, 0.000, 0.000]], "de_polymorph_mev_per_atom": 88, "ef_ev_per_atom": -0.280, "n_ef_per_ev_fu": 9.92, "total_magnetization_mub_per_fu": 0.0}


{"formula": "Dy3Tl2Ga", "functional": "PBE", "state": "optimized geometry", "lattice": [[3.654, 0.000, 0.000], [0.000, 3.654, 0.000], [0.000, 0.000, 11.599]], "species": ["Dy", "Dy", "Dy", "Tl", "Tl", "Ga"], "frac_coords": [[0.000, 0.000, 0.000], [0.000, 0.000, 0.651], [0.000, 0.000, 0.349], [0.500, 0.500, 0.827], [0.500, 0.500, 0.173], [0.500, 0.500, 0.500]], "de_polymorph_mev_per_atom": 0, "ef_ev_per_atom": -0.418, "n_ef_per_ev_fu": 3.87, "total_magnetization_mub_per_fu": 0.0}


{"formula": "Dy2TlGa2", "functional": "PBE", "state": "optimized geometry", "lattice": [[4.395, 0.000, 0.000], [0.000, 7.310, 0.000], [0.000, 0.000, 7.310]], "species": ["Dy", "Dy", "Dy", "Dy", "Tl", "Tl", "Ga", "Ga", "Ga", "Ga"], "frac_coords": [[0.500, 0.172, 0.672], [0.500, 0.672, 0.828], [0.500, 0.828, 0.328], [0.500, 0.328, 0.172], [0.000, 0.000, 0.000], [0.000, 0.500, 0.500], [0.000, 0.376, 0.876], [0.000, 0.876, 0.624], [0.000, 0.624, 0.124], [0.000, 0.124, 0.376]], "ef_ev_per_atom": -0.526, "n_ef_per_ev_fu": 2.75, "total_magnetization_mub_per_fu": 0.0}


{"formula": "Dy4Tl2Ga", "functional": "PBE", "state": "optimized geometry", "lattice": [[8.281, -0.330, 1.167], [-0.921, 8.260, -1.198], [-2.608, -4.990, 6.235]], "species": ["Dy", "Dy", "Dy", "Dy", "Dy", "Dy", "Dy", "Dy", "Tl", "Tl", "Tl", "Tl", "Ga", "Ga"], "frac_coords": [[0.910, 0.152, 0.244], [0.341, 0.598, 0.256], [0.909, 0.664, 0.756], [0.787, 0.052, 0.736], [0.316, 0.048, 0.267], [0.340, 0.086, 0.743], [0.463, 0.698, 0.764], [0.934, 0.702, 0.233], [0.625, 0.375, 0.750], [0.625, 0.875, 0.250], [0.625, 0.375, 0.250], [0.125, 0.375, 0.750], [0.119, 0.622, 0.497], [0.131, 0.128, 0.003]], "de_polymorph_mev_per_atom": 45, "ef_ev_per_atom": -0.211, "n_ef_per_ev_fu": 6.78, "total_magnetization_mub_per_fu": 0.0}


{"formula": "DyTmTlGa", "functional": "PBE", "state": "optimized geometry", "lattice": [[3.551, 0.000, 0.000], [0.000, 3.551, 0.000], [0.000, 0.000, 7.821]], "species": ["Dy", "Tm", "Tl", "Ga"], "frac_coords": [[0.000, 0.000, 0.837], [0.000, 0.000, 0.376], [0.500, 0.500, 0.111], [0.500, 0.500, 0.604]], "de_polymorph_mev_per_atom": 0, "ef_ev_per_atom": -0.443, "n_ef_per_ev_fu": 1.50, "total_magnetization_mub_per_fu": 0.0}